This record from the Alexandria database describes a geometry-optimized AlW2Cl structure. The functional is PBE.

Values from the calculation:
VASP energy	-7.103	eV/atom
size of the total moment	0.0000	μB per atom
polymorph energy (0 for the lowest one)	2.15	eV per formula unit
formation energy (no corrections)	74	kJ per mole of atoms

Cell: 5.559 5.559 3.107 Å, 74.25 74.25 122.11°
Fractional positions:
Cl 0.000 0.500 0.500
W 0.500 0.500 0.000
W 0.000 0.000 0.000
Al 0.500 0.000 0.500



This record from the Alexandria database describes a geometry-optimized TaBe2Tc structure. The functional is PBE.

Values from the calculation:
ΔE_f	-0.113	eV per atom
VASP energy	-7.531	eV/atom
size of the total moment	0.0000	μB per atom
polymorph energy (0 for the lowest one)	1.08	eV per formula unit

Cell: 4.642 4.642 4.085 Å, 63.90 63.90 40.33°
Fractional positions:
Ta 0.489 0.489 0.511
Tc 0.264 0.264 0.236
Be 0.719 0.719 0.780
Be 0.028 0.028 0.973



This record from the Alexandria database describes a geometry-optimized KBaPO2 structure. The functional is PBE.

Values from the calculation:
VASP energy	-3.667	eV/atom
size of the total moment	0.5978	μB per atom
polymorph energy (0 for the lowest one)	1.52	eV per formula unit
formation energy (no corrections)	0	kJ per mole of atoms

Cell: 4.854 4.854 5.308 Å, 90.00 90.00 90.00°
Each line ends with the local moment (μB).
Fractional positions:
O 0.500 0.000 0.000  0.82
K 0.000 0.000 0.000  0.04
Ba 0.500 0.500 0.500  0.01
O 0.000 0.500 0.000  0.82
P 0.000 0.000 0.500  0.43



This record from the Alexandria database describes a geometry-optimized ScPSe3 structure. The functional is PBE.

Values from the calculation:
VASP energy	-4.597	eV/atom
size of the total moment	0.0000	μB per atom
polymorph energy (0 for the lowest one)	0.00	eV per formula unit
formation energy (no corrections)	-15	kJ per mole of atoms

Cell: 4.809 4.809 4.809 Å, 90.00 90.00 90.00°
Fractional positions:
Sc 0.500 0.500 0.500
Se 0.000 0.500 0.000
Se 0.500 0.000 0.000
Se 0.000 0.000 0.500
P 0.000 0.000 0.000



This record from the Alexandria database describes a geometry-optimized NaGa8Pd4 structure. The functional is PBE.

Values from the calculation:
ΔE_f	-0.421	eV per atom
VASP energy	-3.983	eV/atom
size of the total moment	0.0000	μB per atom

Cell: 5.593 6.860 6.860 Å, 80.43 65.94 65.94°
Fractional positions:
Ga 0.348 0.652 0.652
Ga 0.500 0.779 0.221
Pd 0.500 0.000 0.500
Pd 0.000 0.000 0.500
Pd 0.000 0.500 0.000
Pd 0.500 0.500 0.000
Ga 0.652 0.348 0.348
Ga 0.000 0.348 0.652
Ga 0.000 0.652 0.348
Ga 0.721 0.779 0.779
Ga 0.279 0.221 0.221
Na 0.000 0.000 0.000
Ga 0.500 0.221 0.779



This record from the Alexandria database describes a geometry-optimized Li2SiH structure. The functional is PBE.

Values from the calculation:
VASP energy	-2.720	eV/atom
size of the total moment	0.0000	μB per atom
polymorph energy (0 for the lowest one)	2.38	eV per formula unit

Cell: 4.193 4.193 4.193 Å, 60.00 60.00 60.00°
Fractional positions:
Si 0.500 0.500 0.500
Li 0.750 0.750 0.750
Li 0.250 0.250 0.250
H 0.000 0.000 0.000



This record from the Alexandria database describes a geometry-optimized TaPRh2 structure. The functional is PBE.

Values from the calculation:
ΔE_f	-0.420	eV per atom
VASP energy	-8.412	eV/atom
size of the total moment	0.0000	μB per atom

Cell: 2.957 3.753 5.352 Å, 90.00 90.00 90.00°
Fractional positions:
P 0.500 0.500 0.500
Ta 0.500 0.500 0.000
Rh 0.000 0.000 0.747
Rh 0.000 0.000 0.253



This record from the Alexandria database describes a geometry-optimized ErTm2Sb2 structure. The functional is PBE.

Values from the calculation:
VASP energy	-5.154	eV/atom
size of the total moment	0.0000	μB per atom
formation energy (no corrections)	-78	kJ per mole of atoms

Cell: 4.271 6.225 10.898 Å, 90.00 101.30 90.00°
Fractional positions:
Tm 0.000 0.773 0.000
Tm 0.810 0.023 0.621
Sb 0.419 0.023 0.837
Tm 0.000 0.273 0.000
Er 0.614 0.023 0.227
Er 0.386 0.523 0.773
Sb 0.790 0.523 0.579
Sb 0.581 0.523 0.163
Tm 0.190 0.523 0.379
Sb 0.210 0.023 0.421



This record from the Alexandria database describes a geometry-optimized BePdPt2Br structure. The functional is PBE.

Values from the calculation:
VASP energy	-4.057	eV/atom
size of the total moment	0.0000	μB per atom
formation energy (no corrections)	46	kJ per mole of atoms

Cell: 4.246 4.733 4.246 Å, 90.00 90.00 90.00°
Fractional positions:
Pt 0.000 0.000 0.500
Br 0.000 0.500 0.000
Pd 0.500 0.500 0.500
Pt 0.500 0.000 0.000
Be 0.000 0.000 0.000



This record from the Alexandria database describes a geometry-optimized La4Pm15Tm structure. The functional is PBE.

Values from the calculation:
ΔE_f	0.019	eV per atom
VASP energy	-4.753	eV/atom
size of the total moment	0.0000	μB per atom

Cell: 5.187 5.187 25.882 Å, 90.00 90.00 90.00°
Fractional positions:
La 0.000 0.000 0.199
Pm 0.500 0.000 0.903
La 0.000 0.000 0.601
Pm 0.000 0.500 0.500
Pm 0.500 0.000 0.097
Pm 0.500 0.500 0.198
Pm 0.500 0.000 0.299
La 0.000 0.000 0.801
Pm 0.500 0.000 0.701
Pm 0.000 0.500 0.097
Pm 0.000 0.500 0.299
Pm 0.000 0.500 0.903
La 0.000 0.000 0.399
Tm 0.000 0.000 0.000
Pm 0.500 0.500 0.000
Pm 0.500 0.500 0.601
Pm 0.500 0.000 0.500
Pm 0.500 0.500 0.802
Pm 0.000 0.500 0.701
Pm 0.500 0.500 0.399



This record from the Alexandria database describes a geometry-optimized KNp2PdSe4 structure. The functional is PBE.

Values from the calculation:
VASP energy	-6.843	eV/atom
size of the total moment	0.8764	μB per atom
formation energy (no corrections)	-104	kJ per mole of atoms

Cell: 4.161 7.302 14.461 Å, 90.00 90.00 106.55°
Each line ends with the local moment (μB).
Fractional positions:
Se 0.267 0.534 0.395  -0.11
Se 0.733 0.466 0.895  -0.11
Pd 0.837 0.674 0.750  -0.22
Se 0.000 0.000 0.000  -0.11
Np 0.632 0.265 0.067  3.73
K 0.884 0.769 0.250  0.00
Pd 0.163 0.326 0.250  -0.22
Np 0.632 0.265 0.433  3.73
Se 0.000 0.000 0.500  -0.11
Se 0.441 0.882 0.750  -0.13
Se 0.267 0.534 0.105  -0.11
K 0.116 0.231 0.750  0.00
Se 0.559 0.118 0.250  -0.13
Np 0.368 0.735 0.933  3.73
Np 0.368 0.735 0.567  3.73
Se 0.733 0.466 0.605  -0.11